# LiHg2W PBE-GGA relaxed
# - Total magnetic moment: 0.000 μB per atom
# - N(E_F): 0.520 states/eV per atom
# - Formation enthalpy at 0 K: 149 kJ/mol of formula units
data_LiHg2W
_chemical_formula_sum 'Li3 Hg6 W3'
_cell_length_a 2.9581
_cell_length_b 2.9581
_cell_length_c 29.0364
_cell_angle_alpha 90.00
_cell_angle_beta 90.00
_cell_angle_gamma 120.00
_symmetry_space_group_name_H-M 'R -3 m'
_symmetry_Int_Tables_number 166
_symmetry_space_group_name_Hall '-R 3 2"'
loop_
_atom_site_label
_atom_site_fract_x
_atom_site_fract_y
_atom_site_fract_z
Li1 0.0000 0.0000 0.0000
Hg1 0.0000 0.0000 0.2526
W1 0.0000 0.0000 0.5000

---

# LiHgW PBE-GGA relaxed
# - Total magnetic moment: 0.000 μB per atom
# - N(E_F): 0.766 states/eV per atom
# - Formation enthalpy at 0 K: 148 kJ/mol of formula units
data_LiHgW
_chemical_formula_sum 'Li2 Hg2 W2'
_cell_length_a 2.752
_cell_length_b 2.752
_cell_length_c 13.612
_cell_angle_alpha 90.00
_cell_angle_beta 90.00
_cell_angle_gamma 90.00
_symmetry_space_group_name_H-M 'I 4 m m'
_symmetry_Int_Tables_number 107
_symmetry_space_group_name_Hall 'I 4 -2'
loop_
_atom_site_label
_atom_site_fract_x
_atom_site_fract_y
_atom_site_fract_z
Li1 0.000 0.000 0.000
Hg1 0.000 0.000 0.339
W1 0.000 0.000 0.663

---

# LiHgW2 PBE-GGA relaxed
# - Total magnetic moment: 0.000 μB per atom
# - N(E_F): 0.773 states/eV per atom
# - Formation enthalpy at 0 K: 212 kJ/mol of formula units
data_LiHgW2
_chemical_formula_sum 'Li1 Hg1 W2'
_cell_length_a 2.793
_cell_length_b 4.994
_cell_length_c 4.865
_cell_angle_alpha 90.00
_cell_angle_beta 97.58
_cell_angle_gamma 90.00
_symmetry_space_group_name_H-M 'P 1 2/m 1'
_symmetry_Int_Tables_number 10
loop_
_symmetry_equiv_pos_as_xyz
'x,y,z'
'-x,-y,-z'
'-x,y,-z'
'x,-y,z'
loop_
_atom_site_label
_atom_site_fract_x
_atom_site_fract_y
_atom_site_fract_z
Li1 0.000 0.000 0.000
Hg1 0.500 0.000 0.500
W1 0.262 0.500 0.757

---

# Li2HgW PBE-GGA relaxed
# - Total magnetic moment: 0.520 μB per atom
# - N(E_F): 0.388 states/eV per atom
# - Formation enthalpy at 0 K: 262 kJ/mol of formula units
data_Li2HgW
_chemical_formula_sum 'Li4 Hg2 W2'
_cell_length_a 4.028
_cell_length_b 4.028
_cell_length_c 8.272
_cell_angle_alpha 90.00
_cell_angle_beta 90.00
_cell_angle_gamma 90.00
_symmetry_space_group_name_H-M 'I 4/m m m'
_symmetry_Int_Tables_number 139
_symmetry_space_group_name_Hall '-I 4 2'
loop_
_atom_site_label
_atom_site_fract_x
_atom_site_fract_y
_atom_site_fract_z
Li1 0.000 0.500 0.250
Hg1 0.000 0.000 0.000
W1 0.000 0.000 0.500

---

# LiHgW PBE-GGA relaxed
# - Total magnetic moment: 0.334 μB per atom
# - N(E_F): 1.387 states/eV per atom
# - Formation enthalpy at 0 K: 374 kJ/mol of formula units
data_LiHgW
_chemical_formula_sum 'Li4 Hg4 W4'
_cell_length_a 6.223
_cell_length_b 6.223
_cell_length_c 6.223
_cell_angle_alpha 90.00
_cell_angle_beta 90.00
_cell_angle_gamma 90.00
_symmetry_space_group_name_H-M 'F -4 3 m'
_symmetry_Int_Tables_number 216
_symmetry_space_group_name_Hall 'F -4 2 3'
loop_
_atom_site_label
_atom_site_fract_x
_atom_site_fract_y
_atom_site_fract_z
Li1 0.000 0.000 0.000
Hg1 0.250 0.250 0.250
W1 0.000 0.000 0.500

---

# Li2HgW PBE-GGA relaxed
# - Total magnetic moment: 0.501 μB per atom
# - N(E_F): 0.442 states/eV per atom
# - Formation enthalpy at 0 K: 271 kJ/mol of formula units
data_Li2HgW
_chemical_formula_sum 'Li4 Hg2 W2'
_cell_length_a 4.212
_cell_length_b 4.212
_cell_length_c 7.494
_cell_angle_alpha 90.00
_cell_angle_beta 90.00
_cell_angle_gamma 90.00
_symmetry_space_group_name_H-M 'I -4 m 2'
_symmetry_Int_Tables_number 119
_symmetry_space_group_name_Hall 'I -4 -2'
loop_
_atom_site_label
_atom_site_fract_x
_atom_site_fract_y
_atom_site_fract_z
Li1 0.000 0.000 0.000
Li2 0.000 0.500 0.250
Hg1 0.000 0.000 0.500
W1 0.000 0.500 0.750